Record 1
## Ac6CdHg2 (PBE)

Data for a relaxed structure of Ac6CdHg2.

The space group is Immm (No. 71) and the conventional cell measures 10.877, 11.008 and 11.490 Å, with angles of 90.00, 90.00 and 90.00 degrees. The inequivalent atoms are Ac at (0.000, 0.214, 0.173), Ac at (0.178, 0.231, 0.500), Ac at (0.195, 0.500, 0.250), Cd at (0.000, 0.500, 0.000), Cd at (0.000, 0.500, 0.500), Hg at (0.000, 0.000, 0.370) and Hg at (0.150, 0.000, 0.000).

For the total energy, the calculation gives -112.87 eV for the cell shown. As for the formation energy: -22.0 kJ/mol of atoms.

=====

Record 2
## AcCdHg2 (PBE)

Data for a relaxed structure of AcCdHg2.

The space group is Fm-3m (No. 225) and the conventional cell measures 7.629, 7.629 and 7.629 Å, with angles of 90.00, 90.00 and 90.00 degrees. The inequivalent atoms are Ac at (0.000, 0.000, 0.000), Cd at (0.000, 0.000, 0.500) and Hg at (0.250, 0.250, 0.250).

For the total energy, the calculation gives -29.20 eV for the cell shown. As for the formation energy: -40.3 kJ/mol of atoms.